No. 1
Computed, not measured: an optimized crystal structure of Pr2NdGe4Pd4 at the PBE-GGA level of DFT.

Symmetry: Immm
Calculated total energy, eV/cell: -63.2
Size of the total moment, μB per cell: 0.0

Cell lengths 13.003, 13.003, 13.003 Å; angles 161.56, 160.58, 26.91 degrees
Fractional positions:
1 Pr 0.148 0.148 0.000
2 Pr 0.852 0.852 0.000
3 Nd 0.500 0.000 0.500
4 Ge 0.050 0.550 0.500
5 Ge 0.305 0.305 0.000
6 Ge 0.695 0.695 0.000
7 Ge 0.950 0.450 0.500
8 Pd 0.250 0.750 0.500
9 Pd 0.404 0.404 0.000
10 Pd 0.596 0.596 0.000
11 Pd 0.750 0.250 0.500

No. 2
Computed, not measured: an optimized crystal structure of ScUPd at the PBE-GGA level of DFT.

Symmetry: F-43m
Formation enthalpy at 0 K, eV/atom: 0.586
Size of the total moment, μB per cell: 2.6
Relative energy among the computed polymorphs, eV per atom: 0.379

Cell lengths 4.618, 4.618, 4.618 Å; angles 60.00, 60.00, 60.00 degrees
Fractional positions:
1 Sc 0.000 0.000 0.000
2 U 0.750 0.750 0.750
3 Pd 0.500 0.500 0.500

No. 3
Computed, not measured: an optimized crystal structure of PrNb3O9 at the PBE-GGA level of DFT.

Symmetry: P2_1/c
Size of the total moment, μB per cell: 0.0
Relative energy among the computed polymorphs, eV per atom: 0.000

Cell lengths 5.393, 7.639, 16.463 Å; angles 90.00, 92.02, 90.00 degrees
Fractional positions:
1 Pr 0.033 0.250 0.468
2 Pr 0.033 0.250 0.968
3 Pr 0.967 0.750 0.032
4 Pr 0.967 0.750 0.532
5 Nb 0.009 0.029 0.248
6 Nb 0.009 0.471 0.748
7 Nb 0.473 0.016 0.601
8 Nb 0.473 0.484 0.101
9 Nb 0.479 0.001 0.101
10 Nb 0.479 0.499 0.601
11 Nb 0.521 0.501 0.399
12 Nb 0.521 0.999 0.899
13 Nb 0.527 0.516 0.899
14 Nb 0.527 0.984 0.399
15 Nb 0.991 0.529 0.252
16 Nb 0.991 0.971 0.752
17 O 0.106 0.243 0.740
18 O 0.106 0.257 0.240
19 O 0.144 0.557 0.642
20 O 0.144 0.943 0.142
21 O 0.149 0.563 0.143
22 O 0.149 0.937 0.643
23 O 0.264 0.538 0.982
24 O 0.264 0.540 0.482
25 O 0.264 0.960 0.982
26 O 0.264 0.962 0.482
27 O 0.321 0.555 0.809
28 O 0.321 0.945 0.309
29 O 0.325 0.559 0.308
30 O 0.325 0.941 0.808
31 O 0.345 0.249 0.081
32 O 0.345 0.251 0.581
33 O 0.439 0.250 0.403
34 O 0.439 0.250 0.903
35 O 0.561 0.750 0.097
36 O 0.561 0.750 0.597
37 O 0.655 0.749 0.419
38 O 0.655 0.751 0.919
39 O 0.675 0.059 0.192
40 O 0.675 0.441 0.692
41 O 0.679 0.055 0.691
42 O 0.679 0.445 0.191
43 O 0.736 0.038 0.518
44 O 0.736 0.040 0.018
45 O 0.736 0.460 0.518
46 O 0.736 0.462 0.018
47 O 0.851 0.063 0.357
48 O 0.851 0.437 0.857
49 O 0.856 0.057 0.858
50 O 0.856 0.443 0.358
51 O 0.894 0.743 0.760
52 O 0.894 0.757 0.260

No. 4
Computed, not measured: an optimized crystal structure of ZnInFeMo at the PBE-GGA level of DFT.

Symmetry: F-43m
Size of the total moment, μB per cell: 0.8
Relative energy among the computed polymorphs, eV per atom: 0.000

Cell lengths 4.420, 4.420, 4.420 Å; angles 60.00, 60.00, 60.00 degrees
Fractional positions:
1 Zn 0.000 0.000 0.000
2 In 0.250 0.250 0.250
3 Fe 0.500 0.500 0.500
4 Mo 0.750 0.750 0.750

No. 5
Computed, not measured: an optimized crystal structure of YBeReW at the PBE-GGA level of DFT.

Symmetry: F-43m
Size of the total moment, μB per cell: 0.0
Relative energy among the computed polymorphs, eV per atom: 0.000

Cell lengths 4.550, 4.550, 4.550 Å; angles 60.00, 60.00, 60.00 degrees
Fractional positions:
1 Y 0.000 0.000 0.000
2 Be 0.250 0.250 0.250
3 Re 0.750 0.750 0.750
4 W 0.500 0.500 0.500

No. 6
Computed, not measured: an optimized crystal structure of PrEr3Si4 at the PBE-GGA level of DFT.

Symmetry: Pm
Calculated total energy, eV/cell: -46.5
Size of the total moment, μB per cell: 0.0

Cell lengths 5.730, 3.845, 7.964 Å; angles 90.00, 90.20, 90.00 degrees
Fractional positions:
1 Pr 0.000 0.000 0.000
2 Er 0.272 0.000 0.501
3 Er 0.500 0.500 0.144
4 Er 0.770 0.500 0.639
5 Si 0.015 0.500 0.292
6 Si 0.262 0.500 0.775
7 Si 0.514 0.000 0.855
8 Si 0.755 0.000 0.363

No. 7
Computed, not measured: an optimized crystal structure of FeCuPt2 at the PBE-GGA level of DFT.

Symmetry: F-43m
Formation enthalpy at 0 K, eV/atom: 0.003
Size of the total moment, μB per cell: 3.5

Cell lengths 4.328, 4.328, 4.328 Å; angles 60.00, 60.00, 60.00 degrees
Fractional positions:
1 Fe 0.000 0.000 0.000
2 Cu 0.250 0.250 0.250
3 Pt 0.500 0.500 0.500
4 Pt 0.750 0.750 0.750

No. 8
Computed, not measured: an optimized crystal structure of Tb2ErFeSn3Ir2 at the PBE-GGA level of DFT.

Symmetry: Amm2
Calculated total energy, eV/cell: -58.0
Size of the total moment, μB per cell: 1.7

Cell lengths 3.752, 7.606, 7.606 Å; angles 119.86, 90.00, 90.00 degrees
Fractional positions:
1 Tb 0.000 0.204 0.796
2 Tb 0.000 0.796 0.204
3 Er 0.000 0.389 0.389
4 Fe 0.000 0.795 0.795
5 Sn 0.500 0.054 0.054
6 Sn 0.500 0.539 0.795
7 Sn 0.500 0.795 0.539
8 Ir 0.500 0.132 0.462
9 Ir 0.500 0.462 0.132

No. 9
Computed, not measured: an optimized crystal structure of PmBi at the PBE-GGA level of DFT.

Symmetry: F-43m
Size of the total moment, μB per cell: 0.0
Relative energy among the computed polymorphs, eV per atom: 0.543

Cell lengths 5.081, 5.081, 5.081 Å; angles 60.00, 60.00, 60.00 degrees
Fractional positions:
1 Pm 0.000 0.000 0.000
2 Bi 0.250 0.250 0.250

No. 10
Computed, not measured: an optimized crystal structure of RbNbF3 at the PBE-GGA level of DFT.

Symmetry: R-3c
Size of the total moment, μB per cell: 6.0
Relative energy among the computed polymorphs, eV per atom: 0.173

Cell lengths 6.306, 6.306, 6.306 Å; angles 65.80, 65.80, 65.80 degrees
Fractional positions:
1 Rb 0.000 0.000 0.000
2 Rb 0.500 0.500 0.500
3 Nb 0.250 0.250 0.250
4 Nb 0.750 0.750 0.750
5 F 0.044 0.750 0.456
6 F 0.250 0.544 0.956
7 F 0.456 0.044 0.750
8 F 0.544 0.956 0.250
9 F 0.750 0.456 0.044
10 F 0.956 0.250 0.544

No. 11
Computed, not measured: an optimized crystal structure of Er at the PBE-GGA level of DFT.

Symmetry: Cmcm
Formation enthalpy at 0 K, eV/atom: 0.001
Size of the total moment, μB per cell: 0.0
Relative energy among the computed polymorphs, eV per atom: 0.001

Cell lengths 3.570, 3.570, 5.545 Å; angles 90.00, 90.00, 120.67 degrees
Fractional positions:
1 Er 0.166 0.834 0.750
2 Er 0.834 0.166 0.250

No. 12
Computed, not measured: an optimized crystal structure of CoAgMoAs at the PBE-GGA level of DFT.

Symmetry: F-43m
Size of the total moment, μB per cell: 0.2
Relative energy among the computed polymorphs, eV per atom: 0.000

Cell lengths 4.353, 4.353, 4.353 Å; angles 60.00, 60.00, 60.00 degrees
Fractional positions:
1 Co 0.000 0.000 0.000
2 Ag 0.250 0.250 0.250
3 Mo 0.500 0.500 0.500
4 As 0.750 0.750 0.750

No. 13
Computed, not measured: an optimized crystal structure of ScBeFeSi at the PBE-GGA level of DFT.

Symmetry: F-43m
Size of the total moment, μB per cell: 0.5
Relative energy among the computed polymorphs, eV per atom: 0.023

Cell lengths 4.113, 4.113, 4.113 Å; angles 60.00, 60.00, 60.00 degrees
Fractional positions:
1 Sc 0.000 0.000 0.000
2 Be 0.750 0.750 0.750
3 Fe 0.250 0.250 0.250
4 Si 0.500 0.500 0.500

No. 14
Computed, not measured: an optimized crystal structure of ZrBeTcAs at the PBE-GGA level of DFT.

Symmetry: F-43m
Size of the total moment, μB per cell: 0.0
Relative energy among the computed polymorphs, eV per atom: 0.297

Cell lengths 4.446, 4.446, 4.446 Å; angles 60.00, 60.00, 60.00 degrees
Fractional positions:
1 Zr 0.000 0.000 0.000
2 Be 0.500 0.500 0.500
3 Tc 0.750 0.750 0.750
4 As 0.250 0.250 0.250

No. 15
Computed, not measured: an optimized crystal structure of MgTc at the PBE-GGA level of DFT.

Symmetry: P4/nmm
Size of the total moment, μB per cell: 0.0
Relative energy among the computed polymorphs, eV per atom: 0.008

Cell lengths 3.099, 3.099, 6.870 Å; angles 90.00, 90.00, 90.00 degrees
Fractional positions:
1 Mg 0.250 0.250 0.148
2 Mg 0.750 0.750 0.852
3 Tc 0.250 0.250 0.597
4 Tc 0.750 0.750 0.403

No. 16
Computed, not measured: an optimized crystal structure of GaCuAgW at the PBE-GGA level of DFT.

Symmetry: F-43m
Size of the total moment, μB per cell: 1.3
Relative energy among the computed polymorphs, eV per atom: 0.000

Cell lengths 4.441, 4.441, 4.441 Å; angles 60.00, 60.00, 60.00 degrees
Fractional positions:
1 Ga 0.000 0.000 0.000
2 Cu 0.250 0.250 0.250
3 Ag 0.500 0.500 0.500
4 W 0.750 0.750 0.750

No. 17
Computed, not measured: an optimized crystal structure of PrNdIr2N2O2 at the PBE-GGA level of DFT.

Symmetry: P4mm
Calculated total energy, eV/cell: -62.7
Size of the total moment, μB per cell: 0.0

Cell lengths 4.019, 4.019, 7.585 Å; angles 90.00, 90.00, 90.00 degrees
Fractional positions:
1 Pr 0.000 0.000 0.000
2 Nd 0.500 0.500 0.314
3 Ir 0.000 0.500 0.658
4 Ir 0.500 0.000 0.658
5 N 0.000 0.000 0.570
6 N 0.500 0.500 0.751
7 O 0.000 0.500 0.160
8 O 0.500 0.000 0.160

No. 18
Computed, not measured: an optimized crystal structure of RbHfHg3Se4 at the PBE-GGA level of DFT.

Symmetry: P-43m
Calculated total energy, eV/cell: -30.6
Size of the total moment, μB per cell: 0.0

Cell lengths 7.011, 7.011, 7.011 Å; angles 90.00, 90.00, 90.00 degrees
Fractional positions:
1 Rb 0.000 0.000 0.000
2 Hf 0.500 0.500 0.500
3 Hg 0.000 0.500 0.500
4 Hg 0.500 0.000 0.500
5 Hg 0.500 0.500 0.000
6 Se 0.290 0.290 0.290
7 Se 0.290 0.710 0.710
8 Se 0.710 0.290 0.710
9 Se 0.710 0.710 0.290

No. 19
Computed, not measured: an optimized crystal structure of DyHoTlZn2 at the PBE-GGA level of DFT.

Symmetry: Amm2
Calculated total energy, eV/cell: -15.8
Size of the total moment, μB per cell: 0.1

Cell lengths 3.629, 7.447, 7.447 Å; angles 34.44, 90.00, 90.00 degrees
Fractional positions:
1 Dy 0.000 0.000 0.000
2 Ho 0.000 0.747 0.747
3 Tl 0.500 0.373 0.373
4 Zn 0.500 0.169 0.169
5 Zn 0.500 0.578 0.578

No. 20
Computed, not measured: an optimized crystal structure of PmAsNO at the PBE-GGA level of DFT.

Symmetry: Pca2_1
Size of the total moment, μB per cell: 0.0
Relative energy among the computed polymorphs, eV per atom: 0.000

Cell lengths 6.279, 6.596, 6.003 Å; angles 90.00, 90.00, 90.00 degrees
Fractional positions:
1 Pm 0.071 0.245 0.000
2 Pm 0.429 0.245 0.500
3 Pm 0.571 0.755 0.000
4 Pm 0.929 0.755 0.500
5 As 0.104 0.760 0.991
6 As 0.396 0.760 0.491
7 As 0.604 0.240 0.991
8 As 0.896 0.240 0.491
9 N 0.098 0.080 0.369
10 N 0.402 0.080 0.869
11 N 0.598 0.920 0.369
12 N 0.902 0.920 0.869
13 O 0.083 0.423 0.632
14 O 0.417 0.423 0.132
15 O 0.583 0.577 0.632
16 O 0.917 0.577 0.132

No. 21
Computed, not measured: an optimized crystal structure of GdAuSeO at the PBE-GGA level of DFT.

Symmetry: Aem2
Calculated total energy, eV/cell: -48.0
Size of the total moment, μB per cell: 0.0

Cell lengths 9.623, 4.004, 4.004 Å; angles 89.83, 90.00, 90.00 degrees
Fractional positions:
1 Gd 0.116 0.250 0.750
2 Gd 0.884 0.750 0.250
3 Au 0.500 0.001 0.001
4 Au 0.500 0.501 0.501
5 Se 0.280 0.751 0.251
6 Se 0.720 0.251 0.751
7 O 0.000 0.250 0.250
8 O 0.000 0.750 0.750

No. 22
Computed, not measured: an optimized crystal structure of Zr2GaOs at the PBE-GGA level of DFT.

Symmetry: F-43m
Calculated total energy, eV/cell: -32.1
Size of the total moment, μB per cell: 0.2

Cell lengths 4.646, 4.646, 4.646 Å; angles 60.00, 60.00, 60.00 degrees
Fractional positions:
1 Zr 0.000 0.000 0.000
2 Zr 0.250 0.250 0.250
3 Ga 0.500 0.500 0.500
4 Os 0.750 0.750 0.750

No. 23
Computed, not measured: an optimized crystal structure of NdGaPt at the PBE-GGA level of DFT.

Symmetry: Pnma
Calculated total energy, eV/cell: -67.8
Size of the total moment, μB per cell: 0.0

Cell lengths 7.197, 4.528, 7.766 Å; angles 90.00, 90.00, 90.00 degrees
Fractional positions:
1 Nd 0.016 0.250 0.200
2 Nd 0.484 0.750 0.700
3 Nd 0.516 0.250 0.300
4 Nd 0.984 0.750 0.800
5 Ga 0.177 0.250 0.580
6 Ga 0.323 0.750 0.080
7 Ga 0.677 0.250 0.920
8 Ga 0.823 0.750 0.420
9 Pt 0.212 0.750 0.408
10 Pt 0.288 0.250 0.908
11 Pt 0.712 0.750 0.092
12 Pt 0.788 0.250 0.592

No. 24
Computed, not measured: an optimized crystal structure of GaSn2Au at the PBE-GGA level of DFT.

Symmetry: F-43m
Calculated total energy, eV/cell: -14.1

Cell lengths 5.085, 5.085, 5.085 Å; angles 60.00, 60.00, 60.00 degrees
Fractional positions:
1 Ga 0.000 0.000 0.000
2 Sn 0.500 0.500 0.500
3 Sn 0.750 0.750 0.750
4 Au 0.250 0.250 0.250